VASP calculation (PBE with a Hubbard U) on an optimized crystal structure of SmPuCo2O8.

Output
The calculation puts the calculated volume at 319.0 Å³/cell. As for the calculated total energy: -7.5198 eV/atom.

Unit cell a=6.916 b=6.916 c=6.669 alpha=90.00 beta=90.00 gamma=90.00
Space group I-4m2 (No. 119)
Symmetry-distinct sites (fractional):
Sm 0.000 0.000 0.000 [2 per cell]
Pu 0.000 0.500 0.750 [2 per cell]
Co 0.000 0.000 0.500 [2 per cell]
Co 0.000 0.500 0.250 [2 per cell]
O 0.000 0.207 0.696 [8 per cell]
O 0.000 0.329 0.061 [8 per cell]